--- w ---
VASP calculation (GGA-PBE) on an optimized crystal structure of BaNbSeN2.

The calculated volume is 112.8 Å³/cell.

The structure belongs to space group P4/mmm (No. 123); the cell edges are 4.2828, 4.2828 and 6.1471 Å and the angles 90.00°, 90.00° and 90.00°. The inequivalent atoms are Ba at (0.0000, 0.0000, 0.0000), Nb at (0.5000, 0.5000, 0.5000), Se at (0.0000, 0.0000, 0.5000) and N at (0.0000, 0.5000, 0.0000).

--- x ---
VASP calculation (GGA-PBE) on an optimized crystal structure of BaNbSeN2.

The calculated volume is 96.6 Å³/cell.

The structure belongs to space group P4/mmm (No. 123); the cell edges are 4.2694, 4.2694 and 5.2977 Å and the angles 90.00°, 90.00° and 90.00°. The inequivalent atoms are Ba at (0.0000, 0.0000, 0.0000), Nb at (0.5000, 0.5000, 0.5000), Se at (0.5000, 0.5000, 0.0000) and N at (0.0000, 0.5000, 0.5000).

Ordering by calculated energy gives the sequence x, w, with the first entry being the most stable.

--- w ---
VASP calculation (GGA-PBE) on an optimized crystal structure of BaNiSe2N.

The calculated volume is 193.3 Å³/cell.

The structure belongs to space group P4/mmm (No. 123); the cell edges are 6.1372, 6.1372 and 5.1326 Å and the angles 90.00°, 90.00° and 90.00°. The inequivalent atoms are Ba at (0.0000, 0.0000, 0.0000), Ni at (0.5000, 0.5000, 0.5000), Se at (0.0000, 0.5000, 0.0000) and N at (0.0000, 0.0000, 0.5000).

--- x ---
VASP calculation (GGA-PBE) on an optimized crystal structure of BaNiSe2N.

The calculated volume is 104.5 Å³/cell.

The structure belongs to space group P4/mmm (No. 123); the cell edges are 5.3968, 5.3968 and 3.5876 Å and the angles 90.00°, 90.00° and 90.00°. The inequivalent atoms are Ba at (0.0000, 0.0000, 0.0000), Ni at (0.5000, 0.5000, 0.5000), Se at (0.0000, 0.5000, 0.5000) and N at (0.5000, 0.5000, 0.0000).

Ordering by calculated energy gives the sequence x, w, with the first entry being the most stable.